Here is a relaxed structure of Nd5Ho3 from Alexandria via LeMat-Bulk. Energies are from PBE.

Computed properties:
The calculated total energy is -37.4 eV/cell. The formation energy is 0.02 eV/atom. The spin magnetization comes out at 0.00 Bohr magnetons per cell. As for the relative energy among the computed polymorphs: 0 meV per atom.

```
data_Nd5Ho3
_cell_length_a 3.632
_cell_length_b 3.632
_cell_length_c 20.428
_cell_angle_alpha 90.00
_cell_angle_beta 90.00
_cell_angle_gamma 90.00
_space_group_name_H-M_alt 'P 4/m m m'
_space_group_IT_number 123
_space_group_name_Hall '-P 4 2'
loop_
_atom_site_label
_atom_site_type_symbol
_atom_site_fract_x
_atom_site_fract_y
_atom_site_fract_z
_atom_site_occupancy
Nd1 Nd 0.000 0.000 0.000 1
Nd2 Nd 0.000 0.000 0.248 1
Nd3 Nd 0.500 0.500 0.376 1
Ho1 Ho 0.000 0.000 0.500 1
Ho2 Ho 0.500 0.500 0.123 1
```

Here is a relaxed structure of NdHo5 from Alexandria via LeMat-Bulk. Energies are from PBE.

Computed properties:
The calculated total energy is -55.2 eV/cell. The formation energy is 0.01 eV/atom. The spin magnetization comes out at 0.00 Bohr magnetons per cell. As for the relative energy among the computed polymorphs: 0 meV per atom.

```
data_NdHo5
_cell_length_a 12.929
_cell_length_b 3.628
_cell_length_c 8.435
_cell_angle_alpha 90.00
_cell_angle_beta 103.05
_cell_angle_gamma 90.00
_space_group_name_H-M_alt 'C 1 m 1'
_space_group_IT_number 8
_space_group_name_Hall 'C -2y'
loop_
_atom_site_label
_atom_site_type_symbol
_atom_site_fract_x
_atom_site_fract_y
_atom_site_fract_z
_atom_site_occupancy
Nd1 Nd 0.000 0.000 0.000 1
Ho1 Ho 0.114 0.500 0.722 1
Ho2 Ho 0.168 0.500 0.339 1
Ho3 Ho 0.278 0.000 0.062 1
Ho4 Ho 0.334 0.000 0.667 1
Ho5 Ho 0.444 0.500 0.393 1
```

Here is a relaxed structure of Nd3Ho13 from Alexandria via LeMat-Bulk. Energies are from PBE.

Computed properties:
The calculated total energy is -147.1 eV/cell. The formation energy is 0.02 eV/atom. The spin magnetization comes out at 0.00 Bohr magnetons per cell. As for the relative energy among the computed polymorphs: 4 meV per atom.

```
data_Nd3Ho13
_cell_length_a 10.033
_cell_length_b 10.043
_cell_length_c 10.062
_cell_angle_alpha 90.00
_cell_angle_beta 90.00
_cell_angle_gamma 90.00
_space_group_name_H-M_alt 'A m m 2'
_space_group_IT_number 38
_space_group_name_Hall 'A 2 -2'
loop_
_atom_site_label
_atom_site_type_symbol
_atom_site_fract_x
_atom_site_fract_y
_atom_site_fract_z
_atom_site_occupancy
Nd1 Nd 0.000 0.000 0.000 1
Nd2 Nd 0.251 0.000 0.252 1
Ho1 Ho 0.000 0.000 0.503 1
Ho2 Ho 0.000 0.248 0.752 1
Ho3 Ho 0.251 0.249 0.502 1
Ho4 Ho 0.252 0.000 0.751 1
Ho5 Ho 0.500 0.000 0.000 1
Ho6 Ho 0.500 0.000 0.504 1
Ho7 Ho 0.500 0.249 0.752 1
```

Here is a relaxed structure of Nd3Ho5 from Alexandria via LeMat-Bulk. Energies are from PBE.

Computed properties:
The calculated total energy is -74.1 eV/cell. The formation energy is 0.02 eV/atom. The spin magnetization comes out at 0.00 Bohr magnetons per cell. As for the relative energy among the computed polymorphs: 0 meV per atom.

```
data_Nd3Ho5
_cell_length_a 10.103
_cell_length_b 10.161
_cell_length_c 5.066
_cell_angle_alpha 90.00
_cell_angle_beta 90.00
_cell_angle_gamma 90.00
_space_group_name_H-M_alt 'C m m m'
_space_group_IT_number 65
_space_group_name_Hall '-C 2 2'
loop_
_atom_site_label
_atom_site_type_symbol
_atom_site_fract_x
_atom_site_fract_y
_atom_site_fract_z
_atom_site_occupancy
Nd1 Nd 0.000 0.000 0.000 1
Nd2 Nd 0.000 0.252 0.500 1
Ho1 Ho 0.000 0.500 0.000 1
Ho2 Ho 0.249 0.500 0.500 1
Ho3 Ho 0.250 0.250 0.000 1
```

Here is a relaxed structure of Nd3Ho from Alexandria via LeMat-Bulk. Energies are from PBE.

Computed properties:
The calculated total energy is -18.7 eV/cell. The formation energy is 0.03 eV/atom. The spin magnetization comes out at 0.00 Bohr magnetons per cell. As for the relative energy among the computed polymorphs: 18 meV per atom.

```
data_Nd3Ho
_cell_length_a 3.682
_cell_length_b 5.888
_cell_length_c 6.360
_cell_angle_alpha 90.00
_cell_angle_beta 90.00
_cell_angle_gamma 90.00
_space_group_name_H-M_alt 'P m m 2'
_space_group_IT_number 25
_space_group_name_Hall 'P 2 -2'
loop_
_atom_site_label
_atom_site_type_symbol
_atom_site_fract_x
_atom_site_fract_y
_atom_site_fract_z
_atom_site_occupancy
Nd1 Nd 0.000 0.000 0.000 1
Nd2 Nd 0.000 0.500 0.334 1
Nd3 Nd 0.500 0.500 0.834 1
Ho1 Ho 0.500 0.000 0.501 1
```

Here is a relaxed structure of Nd3Ho8 from Alexandria via LeMat-Bulk. Energies are from PBE.

Computed properties:
The calculated total energy is -134.2 eV/cell. The formation energy is 0.56 eV/atom. The spin magnetization comes out at 0.00 Bohr magnetons per cell.

```
data_Nd3Ho8
_cell_length_a 10.2454
_cell_length_b 10.2454
_cell_length_c 12.2632
_cell_angle_alpha 90.00
_cell_angle_beta 90.00
_cell_angle_gamma 120.00
_space_group_name_H-M_alt 'R -3'
_space_group_IT_number 148
_space_group_name_Hall '-R 3'
loop_
_atom_site_label
_atom_site_type_symbol
_atom_site_fract_x
_atom_site_fract_y
_atom_site_fract_z
_atom_site_occupancy
Nd1 Nd 0.0000 0.5000 0.0000 1
Ho1 Ho 0.0000 0.0000 0.3500 1
Ho2 Ho 0.0012 0.1946 0.1115 1
```

Here is a relaxed structure of Nd6Ho7 from Alexandria via LeMat-Bulk. Energies are from PBE.

Computed properties:
The calculated total energy is -171.9 eV/cell. The formation energy is 0.26 eV/atom. The spin magnetization comes out at 22.44 Bohr magnetons per cell.

```
data_Nd6Ho7
_cell_length_a 6.6614
_cell_length_b 6.6614
_cell_length_c 34.9884
_cell_angle_alpha 90.00
_cell_angle_beta 90.00
_cell_angle_gamma 120.00
_space_group_name_H-M_alt 'R -3 m'
_space_group_IT_number 166
_space_group_name_Hall '-R 3 2"'
loop_
_atom_site_label
_atom_site_type_symbol
_atom_site_fract_x
_atom_site_fract_y
_atom_site_fract_z
_atom_site_occupancy
Nd1 Nd 0.0000 0.0000 0.0483 1
Nd2 Nd 0.0000 0.0000 0.1514 1
Nd3 Nd 0.0000 0.0000 0.3333 1
Ho1 Ho 0.0000 0.0000 0.5000 1
Ho2 Ho 0.0021 0.5010 0.9131 1
```

Here is a relaxed structure of NdHo5 from Alexandria via LeMat-Bulk. Energies are from PBE.

Computed properties:
The calculated total energy is -55.1 eV/cell. The formation energy is 0.02 eV/atom. The spin magnetization comes out at 0.00 Bohr magnetons per cell. As for the relative energy among the computed polymorphs: 7 meV per atom.

```
data_NdHo5
_cell_length_a 6.142
_cell_length_b 10.635
_cell_length_c 6.145
_cell_angle_alpha 90.00
_cell_angle_beta 109.36
_cell_angle_gamma 90.00
_space_group_name_H-M_alt 'C 1 2/m 1'
_space_group_IT_number 12
_space_group_name_Hall '-C 2y'
loop_
_atom_site_label
_atom_site_type_symbol
_atom_site_fract_x
_atom_site_fract_y
_atom_site_fract_z
_atom_site_occupancy
Nd1 Nd 0.000 0.000 0.000 1
Ho1 Ho 0.000 0.167 0.500 1
Ho2 Ho 0.000 0.333 0.000 1
Ho3 Ho 0.000 0.500 0.500 1
```

Here is a relaxed structure of Nd2Ho5 from Alexandria via LeMat-Bulk. Energies are from PBE.

Computed properties:
The calculated total energy is -129.3 eV/cell. The formation energy is 0.01 eV/atom. The spin magnetization comes out at 0.00 Bohr magnetons per cell.

```
data_Nd2Ho5
_cell_length_a 15.785
_cell_length_b 6.297
_cell_length_c 9.239
_cell_angle_alpha 90.00
_cell_angle_beta 95.78
_cell_angle_gamma 90.00
_space_group_name_H-M_alt 'C 1 2/c 1'
_space_group_IT_number 15
_space_group_name_Hall '-C 2yc'
loop_
_atom_site_label
_atom_site_type_symbol
_atom_site_fract_x
_atom_site_fract_y
_atom_site_fract_z
_atom_site_occupancy
Nd1 Nd 0.073 0.168 0.108 1
Ho1 Ho 0.000 0.335 0.750 1
Ho2 Ho 0.145 0.336 0.465 1
Ho3 Ho 0.214 0.167 0.821 1
```

Here is a relaxed structure of Nd7Ho2 from Alexandria via LeMat-Bulk. Energies are from PBE.

Computed properties:
The calculated total energy is -42.2 eV/cell. The formation energy is 0.04 eV/atom. The spin magnetization comes out at 0.00 Bohr magnetons per cell. As for the relative energy among the computed polymorphs: 23 meV per atom.

```
data_Nd7Ho2
_cell_length_a 9.9890
_cell_length_b 9.9890
_cell_length_c 3.5765
_cell_angle_alpha 90.00
_cell_angle_beta 90.00
_cell_angle_gamma 120.00
_space_group_name_H-M_alt 'P -6 2 m'
_space_group_IT_number 189
_space_group_name_Hall 'P -6 -2'
loop_
_atom_site_label
_atom_site_type_symbol
_atom_site_fract_x
_atom_site_fract_y
_atom_site_fract_z
_atom_site_occupancy
Nd1 Nd 0.0000 0.0000 0.0000 1
Nd2 Nd 0.0000 0.3615 0.0000 1
Nd3 Nd 0.0000 0.6912 0.5000 1
Ho1 Ho 0.3333 0.6667 0.5000 1
```

Here is a relaxed structure of Nd3Ho from Alexandria via LeMat-Bulk. Energies are from PBE.

Computed properties:
The calculated total energy is -37.5 eV/cell. The formation energy is 0.03 eV/atom. The spin magnetization comes out at 0.00 Bohr magnetons per cell. As for the relative energy among the computed polymorphs: 14 meV per atom.

```
data_Nd3Ho
_cell_length_a 3.685
_cell_length_b 11.781
_cell_length_c 6.350
_cell_angle_alpha 90.00
_cell_angle_beta 90.00
_cell_angle_gamma 90.00
_space_group_name_H-M_alt 'I m m 2'
_space_group_IT_number 44
_space_group_name_Hall 'I 2 -2'
loop_
_atom_site_label
_atom_site_type_symbol
_atom_site_fract_x
_atom_site_fract_y
_atom_site_fract_z
_atom_site_occupancy
Nd1 Nd 0.000 0.000 0.000 1
Nd2 Nd 0.000 0.248 0.333 1
Ho1 Ho 0.000 0.500 0.001 1
```

Here is a relaxed structure of Nd3Ho13 from Alexandria via LeMat-Bulk. Energies are from PBE.

Computed properties:
The calculated total energy is -147.2 eV/cell. The formation energy is 0.01 eV/atom. The spin magnetization comes out at 0.00 Bohr magnetons per cell. As for the relative energy among the computed polymorphs: 0 meV per atom.

```
data_Nd3Ho13
_cell_length_a 7.266
_cell_length_b 11.305
_cell_length_c 12.547
_cell_angle_alpha 90.00
_cell_angle_beta 90.00
_cell_angle_gamma 90.00
_space_group_name_H-M_alt 'A m m 2'
_space_group_IT_number 38
_space_group_name_Hall 'A 2 -2'
loop_
_atom_site_label
_atom_site_type_symbol
_atom_site_fract_x
_atom_site_fract_y
_atom_site_fract_z
_atom_site_occupancy
Nd1 Nd 0.000 0.000 0.000 1
Nd2 Nd 0.252 0.000 0.747 1
Ho1 Ho 0.000 0.000 0.497 1
Ho2 Ho 0.000 0.249 0.165 1
Ho3 Ho 0.250 0.000 0.250 1
Ho4 Ho 0.251 0.247 0.416 1
Ho5 Ho 0.500 0.000 0.000 1
Ho6 Ho 0.500 0.000 0.497 1
Ho7 Ho 0.500 0.247 0.165 1
```

What is the formula in the eighth record? NdHo5

What did the ninth record say?
Here is a relaxed structure of Nd2Ho5 from Alexandria via LeMat-Bulk. Energies are from PBE.

Computed properties:
The calculated total energy is -129.3 eV/cell. The formation energy is 0.01 eV/atom. The spin magnetization comes out at 0.00 Bohr magnetons per cell.

```
data_Nd2Ho5
_cell_length_a 15.785
_cell_length_b 6.297
_cell_length_c 9.239
_cell_angle_alpha 90.00
_cell_angle_beta 95.78
_cell_angle_gamma 90.00
_space_group_name_H-M_alt 'C 1 2/c 1'
_space_group_IT_number 15
_space_group_name_Hall '-C 2yc'
loop_
_atom_site_label
_atom_site_type_symbol
_atom_site_fract_x
_atom_site_fract_y
_atom_site_fract_z
_atom_site_occupancy
Nd1 Nd 0.073 0.168 0.108 1
Ho1 Ho 0.000 0.335 0.750 1
Ho2 Ho 0.145 0.336 0.465 1
Ho3 Ho 0.214 0.167 0.821 1
```

Number 8 is which compound? NdHo5